Here is a crystal of In2TcCl2 relaxed with PBEsol from Alexandria. Energies are from meta-GGA SCAN.

abc: 3.893 3.893 8.717
angles: 102.90 102.90 90.00
Each line ends with the local moment (μB).
Fractional positions:
In: 0.250 0.750 0.500  0.00
In: 0.750 0.250 0.500  0.00
Cl: 0.410 0.410 0.819  0.06
Cl: 0.590 0.590 0.181  0.06
Tc: 0.000 0.000 0.000  3.94

Output
Calculated volume ... 125 Å³/cell
D(E_F) ... 1.9 states/eV per cell
Uncorrected formation energy ... 0.34 eV per atom